# CdHgSO

A relaxed structure of CdHgSO (PBE, the Open Quantum Materials Database).

Lattice parameters (Å, degrees): 4.0720 4.0720 9.3695 90.00 90.00 90.00
Positions (direct):
S 0.7500 0.7500 0.6744
S 0.2500 0.2500 0.3256
Cd 0.2500 0.2500 0.7275
Cd 0.7500 0.7500 0.2725
Hg 0.2500 0.7500 0.0000
Hg 0.7500 0.2500 0.0000
O 0.7500 0.7500 0.5108
O 0.2500 0.2500 0.4892

Summary:
Relative energy among the computed polymorphs, meV per atom: 305
Volume, Å³/atom: 19.420